No. 1
The following is a PBE calculation of crystalline Ho3Sc3Te2Ir at its relaxed geometry, from the Open Quantum Materials Database.

Lattice parameters (Å, degrees): 7.958 7.958 3.948 90.00 90.00 120.00
Sites, in units of the cell vectors:
Te (0.333, 0.667, 0.500)
Ho (0.390, 0.390, 0.000)
Ho (0.000, 0.610, 0.000)
Ir (0.000, 0.000, 0.000)
Te (0.667, 0.333, 0.500)
Sc (0.000, 0.234, 0.500)
Sc (0.234, 0.000, 0.500)
Ho (0.610, 0.000, 0.000)
Sc (0.766, 0.766, 0.500)

Excess energy over the best structure of this formula in the dataset: 0 meV per atom
SG: P-62m (189)

No. 2
The following is a PBE calculation of crystalline CsLuAu at its relaxed geometry, from the Open Quantum Materials Database.

Lattice parameters (Å, degrees): 5.538 5.538 5.538 60.00 60.00 60.00
Sites, in units of the cell vectors:
Lu (0.750, 0.750, 0.750)
Au (0.250, 0.250, 0.250)
Cs (0.000, 0.000, 0.000)

Excess energy over the best structure of this formula in the dataset: 609 meV per atom
SG: F-43m (216)

No. 3
The following is a PBE calculation of crystalline TcBi2Au at its relaxed geometry, from the Open Quantum Materials Database.

Lattice parameters (Å, degrees): 5.051 5.051 5.051 60.00 60.00 60.00
Sites, in units of the cell vectors:
Au (0.500, 0.500, 0.500)
Bi (0.250, 0.250, 0.250)
Bi (0.000, 0.000, 0.000)
Tc (0.750, 0.750, 0.750)

E_tot: -4.688 eV per atom
SG: F-43m (216)

No. 4
The following is a PBE calculation of crystalline BeNbBiMo at its relaxed geometry, from the Open Quantum Materials Database.

Lattice parameters (Å, degrees): 4.604 4.604 4.604 60.00 60.00 60.00
Sites, in units of the cell vectors:
Bi (0.000, 0.000, 0.000)
Nb (0.500, 0.500, 0.500)
Mo (0.250, 0.250, 0.250)
Be (0.750, 0.750, 0.750)

Excess energy over the best structure of this formula in the dataset: 0 meV per atom
SG: F-43m (216)

No. 5
The following is a PBE calculation of crystalline LiAg3SnSe4 at its relaxed geometry, from the Open Quantum Materials Database.

Lattice parameters (Å, degrees): 6.569 8.283 8.374 90.00 94.45 90.00
Sites, in units of the cell vectors:
Sn (0.271, 0.750, 0.720)
Ag (0.259, 0.250, 0.342)
Se (0.427, 0.750, 0.453)
Li (0.251, 0.250, 0.706)
Ag (0.789, 0.563, 0.966)
Ag (0.741, 0.750, 0.658)
Se (0.573, 0.250, 0.547)
Ag (0.211, 0.437, 0.034)
Sn (0.729, 0.250, 0.280)
Se (0.975, 0.496, 0.274)
Se (0.025, 0.996, 0.726)
Ag (0.789, 0.937, 0.966)
Se (0.465, 0.750, 0.008)
Se (0.535, 0.250, 0.992)
Se (0.025, 0.504, 0.726)
Ag (0.211, 0.063, 0.034)
Se (0.975, 0.004, 0.274)
Li (0.749, 0.750, 0.294)

Excess energy over the best structure of this formula in the dataset: 0 meV per atom
SG: P2_1/m (11)

No. 6
The following is a PBE calculation of crystalline LiScCdGa at its relaxed geometry, from the Open Quantum Materials Database.

Lattice parameters (Å, degrees): 4.671 4.671 4.671 60.00 60.00 60.00
Sites, in units of the cell vectors:
Cd (0.500, 0.500, 0.500)
Ga (0.250, 0.250, 0.250)
Sc (0.000, 0.000, 0.000)
Li (0.750, 0.750, 0.750)

Excess energy over the best structure of this formula in the dataset: 58 meV per atom
SG: F-43m (216)

No. 7
The following is a PBE calculation of crystalline La4FeSb2S10 at its relaxed geometry, from the Open Quantum Materials Database.

Lattice parameters (Å, degrees): 15.108 7.628 13.224 90.00 90.00 90.00
Sites, in units of the cell vectors:
S (0.792, 0.079, 0.602)
S (0.455, 0.079, 0.397)
S (0.545, 0.579, 0.103)
La (0.874, 0.750, 0.500)
S (0.792, 0.421, 0.102)
Sb (0.464, 0.050, 0.750)
Fe (0.123, 0.750, 0.500)
Sb (0.784, 0.051, 0.250)
Sb (0.784, 0.449, 0.750)
S (0.707, 0.587, 0.896)
Sb (0.536, 0.550, 0.750)
S (0.375, 0.760, 0.750)
S (0.963, 0.412, 0.605)
Fe (0.877, 0.250, 0.500)
S (0.707, 0.913, 0.396)
S (0.625, 0.260, 0.750)
S (0.545, 0.579, 0.397)
S (0.037, 0.588, 0.105)
S (0.874, 0.741, 0.750)
Sb (0.536, 0.950, 0.250)
S (0.545, 0.921, 0.897)
La (0.623, 0.250, 0.000)
S (0.707, 0.587, 0.604)
S (0.707, 0.913, 0.104)
La (0.309, 0.381, 0.750)
S (0.545, 0.921, 0.603)
S (0.293, 0.413, 0.396)
S (0.126, 0.259, 0.250)
S (0.293, 0.087, 0.896)
S (0.208, 0.579, 0.602)
La (0.062, 0.878, 0.250)
La (0.377, 0.750, 0.000)
Sb (0.464, 0.450, 0.250)
Sb (0.216, 0.551, 0.250)
S (0.037, 0.912, 0.605)
S (0.208, 0.579, 0.898)
La (0.377, 0.750, 0.500)
Fe (0.123, 0.750, 0.000)
La (0.623, 0.250, 0.500)
S (0.792, 0.079, 0.898)
S (0.874, 0.759, 0.250)
S (0.208, 0.921, 0.102)
S (0.455, 0.421, 0.897)
S (0.037, 0.588, 0.395)
S (0.963, 0.412, 0.895)
La (0.874, 0.750, 0.000)
S (0.963, 0.088, 0.395)
S (0.293, 0.087, 0.604)
La (0.309, 0.119, 0.250)
S (0.792, 0.421, 0.398)
Fe (0.877, 0.250, 0.000)
La (0.938, 0.378, 0.250)
S (0.293, 0.413, 0.104)
S (0.455, 0.079, 0.103)
S (0.208, 0.921, 0.398)
S (0.625, 0.240, 0.250)
La (0.062, 0.622, 0.750)
La (0.126, 0.250, 0.500)
La (0.691, 0.881, 0.750)
S (0.126, 0.241, 0.750)
S (0.455, 0.421, 0.603)
La (0.126, 0.250, 0.000)
S (0.037, 0.912, 0.895)
S (0.963, 0.088, 0.105)
La (0.691, 0.619, 0.250)
La (0.938, 0.122, 0.750)
Sb (0.216, 0.949, 0.750)
S (0.375, 0.740, 0.250)

E_tot: -5.963 eV per atom
SG: Pbcm (57)

No. 8
The following is a PBE calculation of crystalline HoMg at its relaxed geometry, from the Open Quantum Materials Database.

Lattice parameters (Å, degrees): 3.771 3.771 3.771 90.00 90.00 90.00
Sites, in units of the cell vectors:
Ho (0.000, 0.000, 0.000)
Mg (0.500, 0.500, 0.500)

E_tot: -3.133 eV per atom
SG: Pm-3m (221)

No. 9
The following is a PBE calculation of crystalline ZrCoNiGe at its relaxed geometry, from the Open Quantum Materials Database.

Lattice parameters (Å, degrees): 4.349 4.349 4.349 60.00 60.00 60.00
Sites, in units of the cell vectors:
Zr (0.250, 0.250, 0.250)
Co (0.750, 0.750, 0.750)
Ni (0.500, 0.500, 0.500)
Ge (0.000, 0.000, 0.000)

Excess energy over the best structure of this formula in the dataset: 197 meV per atom
SG: F-43m (216)

No. 10
The following is a PBE calculation of crystalline YMgTcTe at its relaxed geometry, from the Open Quantum Materials Database.

Lattice parameters (Å, degrees): 4.878 4.878 4.878 60.00 60.00 60.00
Sites, in units of the cell vectors:
Tc (0.500, 0.500, 0.500)
Mg (0.750, 0.750, 0.750)
Te (0.250, 0.250, 0.250)
Y (0.000, 0.000, 0.000)

Excess energy over the best structure of this formula in the dataset: 0 meV per atom
SG: F-43m (216)

No. 11
The following is a PBE calculation of crystalline Tb2PrPd2PtPb3 at its relaxed geometry, from the Open Quantum Materials Database.

Lattice parameters (Å, degrees): 4.024 7.825 7.825 120.21 90.00 90.00
Sites, in units of the cell vectors:
Pb (0.500, 0.263, 0.998)
Pb (0.500, 0.737, 0.737)
Pd (0.500, 0.672, 0.331)
Tb (0.000, 0.000, 0.601)
Tb (0.000, 0.601, 0.000)
Pr (0.000, 0.402, 0.402)
Pt (0.000, 0.995, 0.995)
Pb (0.500, 0.998, 0.263)
Pd (0.500, 0.331, 0.672)

E_tot: -5.363 eV per atom
SG: Amm2 (38)

No. 12
The following is a PBE calculation of crystalline La2Zn4CuPt at its relaxed geometry, from the Open Quantum Materials Database.

Lattice parameters (Å, degrees): 7.378 5.447 5.447 46.57 90.00 90.00
Sites, in units of the cell vectors:
La (0.500, 0.069, 0.069)
Pt (0.500, 0.784, 0.784)
Zn (0.301, 0.352, 0.352)
Zn (0.814, 0.646, 0.646)
Zn (0.699, 0.352, 0.352)
Zn (0.186, 0.646, 0.646)
La (0.000, 0.932, 0.932)
Cu (0.000, 0.220, 0.220)

E_tot: -3.605 eV per atom
SG: Amm2 (38)

No. 13
The following is a PBE calculation of crystalline NbNiBPt at its relaxed geometry, from the Open Quantum Materials Database.

Lattice parameters (Å, degrees): 4.220 4.220 4.220 60.00 60.00 60.00
Sites, in units of the cell vectors:
B (0.000, 0.000, 0.000)
Ni (0.750, 0.750, 0.750)
Nb (0.500, 0.500, 0.500)
Pt (0.250, 0.250, 0.250)

Excess energy over the best structure of this formula in the dataset: 336 meV per atom
SG: F-43m (216)

No. 14
The following is a PBE calculation of crystalline BaPrCuTe3 at its relaxed geometry, from the Open Quantum Materials Database.

Lattice parameters (Å, degrees): 7.848 7.848 11.800 90.00 90.00 146.54
Sites, in units of the cell vectors:
Te (0.860, 0.140, 0.931)
Te (0.429, 0.571, 0.250)
Pr (0.500, 0.500, 0.000)
Cu (0.968, 0.032, 0.750)
Te (0.860, 0.140, 0.569)
Te (0.571, 0.429, 0.750)
Ba (0.249, 0.751, 0.750)
Cu (0.032, 0.968, 0.250)
Te (0.140, 0.860, 0.069)
Te (0.140, 0.860, 0.431)
Pr (0.500, 0.500, 0.500)
Ba (0.751, 0.249, 0.250)

E_tot: -4.562 eV per atom
SG: Cmcm (63)

No. 15
The following is a PBE calculation of crystalline KCd2Cu2As3 at its relaxed geometry, from the Open Quantum Materials Database.

Lattice parameters (Å, degrees): 13.261 13.261 13.261 17.67 17.67 17.67
Sites, in units of the cell vectors:
K (0.500, 0.500, 0.500)
As (0.772, 0.772, 0.772)
Cu (0.905, 0.905, 0.905)
Cu (0.095, 0.095, 0.095)
As (0.000, 0.000, 0.000)
As (0.228, 0.228, 0.228)
Cd (0.295, 0.295, 0.295)
Cd (0.705, 0.705, 0.705)

E_tot: -3.135 eV per atom
SG: R-3m (166)

No. 16
The following is a PBE calculation of crystalline ErScZn at its relaxed geometry, from the Open Quantum Materials Database.

Lattice parameters (Å, degrees): 4.758 4.758 4.758 60.00 60.00 60.00
Sites, in units of the cell vectors:
Zn (0.000, 0.000, 0.000)
Er (0.250, 0.250, 0.250)
Sc (0.750, 0.750, 0.750)

Excess energy over the best structure of this formula in the dataset: 0 meV per atom
SG: F-43m (216)

No. 17
The following is a PBE calculation of crystalline Gd2ErAs3 at its relaxed geometry, from the Open Quantum Materials Database.

Lattice parameters (Å, degrees): 4.129 4.129 10.109 90.00 90.00 120.00
Sites, in units of the cell vectors:
As (0.333, 0.667, 0.338)
Gd (0.333, 0.667, 0.831)
As (0.667, 0.333, 0.662)
As (0.000, 0.000, 0.000)
Gd (0.667, 0.333, 0.169)
Er (0.000, 0.000, 0.500)

E_tot: -6.171 eV per atom
SG: P-3m1 (164)

No. 18
The following is a PBE calculation of crystalline Y2Zr4Co3C3 at its relaxed geometry, from the Open Quantum Materials Database.

Lattice parameters (Å, degrees): 5.776 5.776 13.773 102.82 102.82 60.01
Sites, in units of the cell vectors:
Co (0.081, 0.919, 0.250)
C (0.155, 0.672, 0.000)
C (0.328, 0.845, 0.500)
Zr (0.139, 0.301, 0.906)
C (0.000, 0.500, 0.500)
Zr (0.699, 0.861, 0.594)
Zr (0.026, 0.205, 0.595)
C (0.500, 0.000, 0.000)
Zr (0.795, 0.974, 0.905)
C (0.672, 0.155, 0.500)
Y (0.623, 0.457, 0.379)
Y (0.543, 0.377, 0.121)
Co (0.414, 0.093, 0.750)
Co (0.907, 0.586, 0.750)
Y (0.377, 0.543, 0.621)
Zr (0.861, 0.699, 0.094)
Co (0.093, 0.414, 0.250)
Y (0.457, 0.623, 0.879)
C (0.845, 0.328, 0.000)
Zr (0.974, 0.795, 0.405)
Co (0.586, 0.907, 0.250)
Zr (0.301, 0.139, 0.406)
Zr (0.205, 0.026, 0.095)
Co (0.919, 0.081, 0.750)

E_tot: -8.371 eV per atom
SG: C2/c (15)

No. 19
The following is a PBE calculation of crystalline BeNbPb2 at its relaxed geometry, from the Open Quantum Materials Database.

Lattice parameters (Å, degrees): 5.054 5.054 5.054 60.00 60.00 60.00
Sites, in units of the cell vectors:
Pb (0.500, 0.500, 0.500)
Pb (0.250, 0.250, 0.250)
Nb (0.000, 0.000, 0.000)
Be (0.750, 0.750, 0.750)

E_tot: -4.328 eV per atom
SG: F-43m (216)

No. 20
The following is a PBE calculation of crystalline Fe2GePb at its relaxed geometry, from the Open Quantum Materials Database.

Lattice parameters (Å, degrees): 6.454 6.454 6.454 90.00 90.00 90.00
Sites, in units of the cell vectors:
Fe (0.209, 0.209, 0.209)
Fe (0.209, 0.791, 0.209)
Fe (0.791, 0.791, 0.791)
Fe (0.791, 0.209, 0.209)
Fe (0.209, 0.791, 0.791)
Fe (0.791, 0.791, 0.209)
Ge (0.000, 0.000, 0.500)
Fe (0.209, 0.209, 0.791)
Pb (0.500, 0.000, 0.500)
Ge (0.000, 0.500, 0.000)
Pb (0.500, 0.500, 0.500)
Pb (0.000, 0.500, 0.500)
Pb (0.500, 0.500, 0.000)
Ge (0.500, 0.000, 0.000)
Ge (0.000, 0.000, 0.000)
Fe (0.791, 0.209, 0.791)

E_tot: -5.862 eV per atom
SG: Pm-3m (221)